1.
# ReB3P

A geometry-optimized ReB3P structure (PBEsol, the Alexandria database).

```
ReB3P
1.0
4.106 0.000 0.000
0.000 4.106 0.000
0.000 0.000 4.106
Re B P
1 3 1
Cartesian
0.000 0.000 0.000
0.000 2.053 0.000
0.000 0.000 2.053
2.053 0.000 0.000
2.053 2.053 2.053
```

Fermi-level density of states: 3.76 states/eV/f.u.
theoretical density: 5.99 Mg/m³
total energy: -32.1 eV for the cell shown


2.
# SrZr2Ru

A geometry-optimized SrZr2Ru structure (PBEsol, the Alexandria database).

```
SrZr2Ru
1.0
3.205 0.000 0.000
0.000 3.205 0.000
0.000 0.000 9.374
Ru Sr Zr
1 1 2
Cartesian
1.602 1.602 0.000
1.602 1.602 4.687
0.000 0.000 7.777
0.000 0.000 1.596
```

Fermi-level density of states: 5.95 states/eV/f.u.
theoretical density: 6.40 Mg/m³
total energy: -29.9 eV for the cell shown